The following is a DFT calculation (PBE with a Hubbard U) of an optimized crystal structure of Mn2BeF6.

The structure in POSCAR format:
```
Mn2BeF6
1.0
4.714 0.000 0.000
0.000 4.714 0.000
0.000 0.000 9.248
Mn Be F
4 2 12
Direct
0.000 0.000 0.166 Mn
0.000 0.000 0.834 Mn
0.500 0.500 0.334 Mn
0.500 0.500 0.666 Mn
0.000 0.000 0.500 Be
0.500 0.500 0.000 Be
0.182 0.182 0.357 F
0.182 0.182 0.643 F
0.228 0.228 0.000 F
0.272 0.728 0.500 F
0.318 0.682 0.143 F
0.318 0.682 0.857 F
0.682 0.318 0.143 F
0.682 0.318 0.857 F
0.728 0.272 0.500 F
0.772 0.772 0.000 F
0.818 0.818 0.357 F
0.818 0.818 0.643 F
```

Calculated values
- total DFT energy (no corrections) (eV per atom) = -6.064
- ρ (g/cm³) = 3.76
- D(E_F) (states/eV/f.u.) = 0.00
- space group = P4_2/mnm (136)